Record 1
{
  "formula": "Ba2NdBO5",
  "functional": "PBE",
  "state": "relaxed",
  "total_energy_ha_per_atom": -0.266,
  "cell": [[-2.715, -0.726, 6.544], [5.450, 0.034, 2.265], [1.057, 6.561, -2.641]],
  "species": ["O", "O", "O", "O", "O", "O", "O", "O", "O", "O", "Nd", "Nd", "B", "B", "Ba", "Ba", "Ba", "Ba"],
  "fractional_positions": [[0.039, 0.976, 0.734], [0.500, 0.516, 0.501], [0.038, 0.559, 0.731], [0.215, 0.765, 0.073], [0.372, 0.767, 0.824], [0.500, 0.016, 0.499], [0.628, 0.267, 0.176], [0.785, 0.265, 0.927], [0.961, 0.476, 0.266], [0.962, 0.059, 0.269], [0.785, 0.266, 0.572], [0.215, 0.766, 0.428], [0.830, 0.267, 0.157], [0.170, 0.767, 0.843], [0.225, 0.266, 0.133], [0.368, 0.266, 0.734], [0.632, 0.766, 0.266], [0.775, 0.766, 0.867]]
}

=====

Record 2
{
  "formula": "YCuMoAs",
  "functional": "PBE",
  "state": "relaxed",
  "e_above_lowest_polymorph_kj_per_mol_atoms": 0.00,
  "cell": [[0.000, 3.256, 3.256], [3.256, 0.000, 3.256], [3.256, 3.256, 0.000]],
  "species": ["Cu", "Y", "Mo", "As"],
  "fractional_positions": [[0.750, 0.750, 0.750], [0.500, 0.500, 0.500], [0.250, 0.250, 0.250], [0.000, 0.000, 0.000]]
}

=====

Record 3
{
  "formula": "CdHg2Te",
  "functional": "PBE",
  "state": "relaxed",
  "total_energy_ha_per_atom": -0.042,
  "cell": [[0.000, 3.780, 3.780], [3.780, 0.000, 3.780], [3.780, 3.780, 0.000]],
  "species": ["Cd", "Te", "Hg", "Hg"],
  "fractional_positions": [[0.750, 0.750, 0.750], [0.000, 0.000, 0.000], [0.500, 0.500, 0.500], [0.250, 0.250, 0.250]]
}

=====

Record 4
{
  "formula": "RbCo2AsP",
  "functional": "PBE",
  "state": "relaxed",
  "total_energy_ha_per_atom": -0.204,
  "cell": [[3.179, -4.841, 4.718], [-1.111, -2.675, 6.885], [-2.516, 1.817, -6.795]],
  "species": ["As", "Rb", "P", "Co", "Co"],
  "fractional_positions": [[0.657, 0.657, 0.000], [0.995, 0.995, 0.000], [0.337, 0.337, 0.000], [0.756, 0.256, 0.500], [0.256, 0.756, 0.500]]
}

=====

Record 5
{
  "formula": "BeAlInPd",
  "functional": "PBE",
  "state": "relaxed",
  "e_above_lowest_polymorph_kj_per_mol_atoms": 0.00,
  "cell": [[-1.572, -4.024, -1.089], [-3.269, -1.840, 2.404], [-4.084, -0.402, -1.734]],
  "species": ["Al", "Be", "In", "Pd"],
  "fractional_positions": [[0.500, 0.500, 0.500], [0.750, 0.750, 0.750], [0.000, 0.000, 0.000], [0.250, 0.250, 0.250]]
}

=====

Record 6
{
  "formula": "NdCdAsO",
  "functional": "PBE",
  "state": "relaxed",
  "total_energy_ha_per_atom": -0.191,
  "cell": [[4.142, 0.000, 0.000], [0.000, 6.250, 0.000], [0.000, 0.000, 7.038]],
  "species": ["As", "As", "Cd", "Cd", "O", "O", "Nd", "Nd"],
  "fractional_positions": [[0.000, 0.719, 0.319], [0.000, 0.281, 0.819], [0.000, 0.893, 0.964], [0.000, 0.107, 0.464], [0.500, 0.732, 0.877], [0.500, 0.268, 0.377], [0.500, 0.552, 0.594], [0.500, 0.448, 0.094]]
}

=====

Record 7
{
  "formula": "PrGdGe2Ir",
  "functional": "PBE",
  "state": "relaxed",
  "e_above_lowest_polymorph_kj_per_mol_atoms": 0.00,
  "cell": [[-1.502, -5.619, -0.289], [0.604, -4.294, -3.888], [8.594, 1.975, 5.756]],
  "species": ["Ge", "Ge", "Ge", "Ge", "Pr", "Pr", "Ir", "Ir", "Gd", "Gd"],
  "fractional_positions": [[0.651, 0.651, 0.551], [0.512, 0.512, 0.879], [0.349, 0.349, 0.449], [0.488, 0.488, 0.121], [0.193, 0.193, 0.118], [0.807, 0.807, 0.882], [0.731, 0.731, 0.340], [0.269, 0.269, 0.660], [0.989, 0.989, 0.667], [0.011, 0.011, 0.333]]
}

=====

Record 8
{
  "formula": "Hf2Tl3W4N3",
  "functional": "PBE",
  "state": "relaxed",
  "total_energy_ha_per_atom": -0.319,
  "cell": [[4.849, -2.808, 0.000], [4.849, 2.808, 0.000], [-2.788, 0.000, 14.010]],
  "species": ["W", "W", "W", "W", "W", "W", "W", "W", "N", "N", "N", "N", "N", "N", "Hf", "Hf", "Hf", "Hf", "Tl", "Tl", "Tl", "Tl", "Tl", "Tl"],
  "fractional_positions": [[0.888, 0.683, 0.577], [0.112, 0.317, 0.423], [0.836, 0.947, 0.428], [0.053, 0.164, 0.072], [0.317, 0.112, 0.923], [0.164, 0.053, 0.572], [0.947, 0.836, 0.928], [0.683, 0.888, 0.077], [0.500, 0.000, 0.500], [0.351, 0.805, 0.001], [0.649, 0.195, 0.999], [0.000, 0.500, 0.000], [0.805, 0.351, 0.501], [0.195, 0.649, 0.499], [0.654, 0.479, 0.913], [0.521, 0.346, 0.587], [0.346, 0.521, 0.087], [0.479, 0.654, 0.413], [0.071, 0.929, 0.250], [0.929, 0.071, 0.750], [0.222, 0.430, 0.758], [0.778, 0.570, 0.242], [0.570, 0.778, 0.742], [0.430, 0.222, 0.258]]
}

=====

Record 9
{
  "formula": "NaHoPt",
  "functional": "PBE",
  "state": "relaxed",
  "e_above_lowest_polymorph_kj_per_mol_atoms": 36.43,
  "cell": [[0.242, -3.364, 3.313], [-3.724, -0.845, 2.788], [-2.473, -3.998, -0.506]],
  "species": ["Ho", "Na", "Pt"],
  "fractional_positions": [[0.000, 0.000, 0.000], [0.250, 0.250, 0.250], [0.750, 0.750, 0.750]]
}

=====

Record 10
{
  "formula": "PaCl",
  "functional": "PBE",
  "state": "relaxed",
  "total_energy_ha_per_atom": -0.229,
  "cell": [[4.036, 0.000, 0.000], [-2.018, 3.495, 0.000], [0.000, 0.000, 6.043]],
  "species": ["Cl", "Cl", "Pa", "Pa"],
  "fractional_positions": [[0.000, 0.000, 0.500], [0.000, 0.000, 0.000], [0.333, 0.667, 0.750], [0.667, 0.333, 0.250]]
}

=====

Record 11
{
  "formula": "SiAsOsAu",
  "functional": "PBE",
  "state": "relaxed",
  "e_above_lowest_polymorph_kj_per_mol_atoms": 0.00,
  "cell": [[0.000, 3.168, 3.168], [3.168, 0.000, 3.168], [3.168, 3.168, 0.000]],
  "species": ["Si", "As", "Au", "Os"],
  "fractional_positions": [[0.500, 0.500, 0.500], [0.000, 0.000, 0.000], [0.750, 0.750, 0.750], [0.250, 0.250, 0.250]]
}

=====

Record 12
{
  "formula": "RbZnCoS3",
  "functional": "PBE",
  "state": "relaxed",
  "total_energy_ha_per_atom": -0.154,
  "cell": [[2.732, 6.175, -3.377], [-3.410, -6.734, -0.148], [-8.429, 4.248, 0.946]],
  "species": ["S", "S", "S", "S", "S", "S", "Zn", "Zn", "Co", "Co", "Rb", "Rb"],
  "fractional_positions": [[0.940, 0.060, 0.250], [0.060, 0.940, 0.750], [0.601, 0.399, 0.032], [0.601, 0.399, 0.468], [0.399, 0.601, 0.532], [0.399, 0.601, 0.968], [0.536, 0.464, 0.250], [0.464, 0.536, 0.750], [0.000, 0.000, 0.000], [0.000, 0.000, 0.500], [0.750, 0.250, 0.750], [0.250, 0.750, 0.250]]
}

=====

Record 13
{
  "formula": "LaGdSi4Pd2",
  "functional": "PBE",
  "state": "relaxed",
  "total_energy_ha_per_atom": -0.222,
  "cell": [[4.201, 0.000, 0.000], [0.000, 2.124, 8.501], [0.000, -2.124, 8.501]],
  "species": ["Gd", "Si", "Si", "Si", "Si", "La", "Pd", "Pd"],
  "fractional_positions": [[0.000, 0.395, 0.395], [0.500, 0.963, 0.963], [0.000, 0.033, 0.033], [0.500, 0.252, 0.252], [0.000, 0.751, 0.751], [0.500, 0.603, 0.603], [0.000, 0.178, 0.178], [0.500, 0.823, 0.823]]
}

=====

Record 14
{
  "formula": "Pr3Ag2Hg",
  "functional": "PBE",
  "state": "relaxed",
  "ef_ev_per_fu": -2.0,
  "cell": [[3.820, 0.000, 0.000], [0.000, 3.820, 0.000], [0.000, 0.000, 11.288]],
  "species": ["Pr", "Pr", "Pr", "Hg", "Ag", "Ag"],
  "fractional_positions": [[0.000, 0.000, 0.670], [0.000, 0.000, 0.000], [0.000, 0.000, 0.330], [0.500, 0.500, 0.500], [0.500, 0.500, 0.837], [0.500, 0.500, 0.163]]
}

=====

Record 15
{
  "formula": "TcSn2B",
  "functional": "PBE",
  "state": "relaxed",
  "total_energy_ha_per_atom": -0.184,
  "cell": [[0.000, 3.273, 3.273], [3.273, 0.000, 3.273], [3.273, 3.273, 0.000]],
  "species": ["B", "Sn", "Sn", "Tc"],
  "fractional_positions": [[0.500, 0.500, 0.500], [0.750, 0.750, 0.750], [0.000, 0.000, 0.000], [0.250, 0.250, 0.250]]
}

=====

Record 16
{
  "formula": "YNbNiSn",
  "functional": "PBE",
  "state": "relaxed",
  "total_energy_ha_per_atom": -0.236,
  "cell": [[0.000, 3.412, 3.412], [3.412, 0.000, 3.412], [3.412, 3.412, 0.000]],
  "species": ["Y", "Sn", "Nb", "Ni"],
  "fractional_positions": [[0.500, 0.500, 0.500], [0.000, 0.000, 0.000], [0.250, 0.250, 0.250], [0.750, 0.750, 0.750]]
}

=====

Record 17
{
  "formula": "Cs2Nb6PbCl18",
  "functional": "PBE",
  "state": "relaxed",
  "total_energy_ha_per_atom": -0.186,
  "cell": [[-4.780, 8.280, 0.000], [9.560, 0.000, 0.000], [4.780, -2.760, -8.821]],
  "species": ["Cl", "Cl", "Cl", "Cl", "Cl", "Cl", "Cl", "Cl", "Cl", "Cl", "Cl", "Cl", "Cl", "Cl", "Cl", "Cl", "Cl", "Cl", "Nb", "Nb", "Nb", "Nb", "Nb", "Nb", "Cs", "Cs", "Pb"],
  "fractional_positions": [[0.166, 0.566, 0.179], [0.566, 0.579, 0.821], [0.325, 0.964, 0.191], [0.089, 0.230, 0.502], [0.770, 0.357, 0.502], [0.421, 0.166, 0.821], [0.834, 0.434, 0.821], [0.230, 0.643, 0.498], [0.579, 0.834, 0.179], [0.170, 0.325, 0.809], [0.675, 0.036, 0.809], [0.911, 0.770, 0.498], [0.964, 0.830, 0.809], [0.434, 0.421, 0.179], [0.830, 0.675, 0.191], [0.643, 0.911, 0.502], [0.357, 0.089, 0.498], [0.036, 0.170, 0.191], [0.297, 0.353, 0.364], [0.353, 0.420, 0.636], [0.647, 0.580, 0.364], [0.580, 0.297, 0.636], [0.703, 0.647, 0.636], [0.420, 0.703, 0.364], [0.723, 0.277, 0.169], [0.277, 0.723, 0.831], [0.000, 0.000, 0.000]]
}

=====

Record 18
{
  "formula": "Dy2Fe3B4Ir2",
  "functional": "PBE",
  "state": "relaxed",
  "total_energy_ha_per_atom": -0.281,
  "cell": [[-4.129, -4.943, 3.459], [-5.908, -1.917, -0.585], [0.579, -5.287, -0.619]],
  "species": ["B", "B", "B", "B", "Fe", "Fe", "Fe", "Dy", "Dy", "Ir", "Ir"],
  "fractional_positions": [[0.968, 0.280, 0.720], [0.280, 0.968, 0.032], [0.720, 0.032, 0.968], [0.032, 0.720, 0.280], [0.000, 0.000, 0.500], [0.500, 0.500, 0.000], [0.000, 0.000, 0.000], [0.638, 0.638, 0.362], [0.362, 0.362, 0.638], [0.750, 0.750, 0.750], [0.250, 0.250, 0.250]]
}

=====

Record 19
{
  "formula": "AcBePt",
  "functional": "PBE",
  "state": "relaxed",
  "e_above_lowest_polymorph_kj_per_mol_atoms": 7.03,
  "cell": [[0.000, 3.264, 3.264], [3.264, 0.000, 3.264], [3.264, 3.264, 0.000]],
  "species": ["Ac", "Be", "Pt"],
  "fractional_positions": [[0.250, 0.250, 0.250], [0.000, 0.000, 0.000], [0.750, 0.750, 0.750]]
}

=====

Record 20
{
  "formula": "LaTmNO",
  "functional": "PBE",
  "state": "relaxed",
  "e_above_lowest_polymorph_kj_per_mol_atoms": 28.57,
  "cell": [[4.430, 0.000, 0.000], [0.000, 4.430, 0.000], [0.000, 0.000, 8.735]],
  "species": ["O", "O", "La", "La", "Tm", "Tm", "N", "N"],
  "fractional_positions": [[0.000, 0.000, 0.000], [0.500, 0.500, 0.000], [0.500, 0.000, 0.112], [0.000, 0.500, 0.888], [0.500, 0.500, 0.500], [0.000, 0.000, 0.500], [0.500, 0.000, 0.553], [0.000, 0.500, 0.447]]
}

=====

Record 21
{
  "formula": "LaPrNi4Sn2",
  "functional": "PBE",
  "state": "relaxed",
  "total_energy_ha_per_atom": -0.201,
  "cell": [[4.417, 0.000, 0.000], [-2.209, 3.825, 0.000], [0.000, 0.000, 9.373]],
  "species": ["Ni", "Ni", "Ni", "Ni", "Sn", "Sn", "Pr", "La"],
  "fractional_positions": [[0.333, 0.667, 0.192], [0.333, 0.667, 0.808], [0.000, 0.000, 0.693], [0.000, 0.000, 0.307], [0.667, 0.333, 0.254], [0.667, 0.333, 0.746], [0.333, 0.667, 0.500], [0.000, 0.000, 0.000]]
}

=====

Record 22
{
  "formula": "TbBAu",
  "functional": "PBE",
  "state": "relaxed",
  "total_energy_ha_per_atom": -0.183,
  "cell": [[-1.439, -0.651, 3.965], [-1.988, 3.144, 2.092], [-4.197, -0.245, 0.733]],
  "species": ["Au", "Tb", "B"],
  "fractional_positions": [[0.250, 0.250, 0.250], [0.750, 0.750, 0.750], [0.000, 0.000, 0.000]]
}

=====

Record 23
{
  "formula": "GdYAsO",
  "functional": "PBE",
  "state": "relaxed",
  "e_above_lowest_polymorph_kj_per_mol_atoms": 1.43,
  "cell": [[-2.327, 1.915, -2.898], [0.629, -6.178, -4.588], [-4.851, -2.272, 2.394]],
  "species": ["Gd", "Gd", "O", "O", "Y", "Y", "As", "As"],
  "fractional_positions": [[0.500, 0.616, 0.504], [0.500, 0.384, 0.004], [0.500, 0.328, 0.382], [0.500, 0.672, 0.882], [0.000, 0.789, 0.939], [0.000, 0.211, 0.439], [0.000, 0.845, 0.430], [0.000, 0.155, 0.930]]
}

=====

Record 24
{
  "formula": "SrB2Mo",
  "functional": "PBE",
  "state": "relaxed",
  "total_energy_ha_per_atom": -0.164,
  "cell": [[-0.686, -3.081, 2.990], [-1.506, 1.084, 3.932], [-4.060, -1.057, 1.140]],
  "species": ["Mo", "B", "B", "Sr"],
  "fractional_positions": [[0.500, 0.500, 0.500], [0.250, 0.250, 0.250], [0.000, 0.000, 0.000], [0.750, 0.750, 0.750]]
}

=====

Record 25
{
  "formula": "YNbTc2",
  "functional": "PBE",
  "state": "relaxed",
  "ef_ev_per_fu": 0.8,
  "cell": [[0.000, 3.274, 3.274], [3.274, 0.000, 3.274], [3.274, 3.274, 0.000]],
  "species": ["Tc", "Tc", "Nb", "Y"],
  "fractional_positions": [[0.000, 0.000, 0.000], [0.250, 0.250, 0.250], [0.750, 0.750, 0.750], [0.500, 0.500, 0.500]]
}

=====

no.,volume (Å³/atom)
1,14.6
2,17.3
3,27.0
4,19.4
5,15.6
6,22.8
7,22.2
8,15.9
9,24.9
10,21.3
11,15.9
12,21.0
13,19.0
14,27.5
15,17.5
16,19.9
17,25.9
18,12.7
19,23.2
20,21.4
21,19.8
22,18.3
23,23.7
24,14.5
25,17.6